The following is a DFT calculation (PBE-GGA) of crystalline BeTl2Ir at its relaxed geometry.

- mass density (g/cm³) = 13.84
- energy relative to the lowest polymorph listed for this composition (eV per atom) = 0.5942
- ΔE_f (eV per atom) = 0.687

Cell: 4.268 4.268 8.037 Å, 90.00 90.00 90.00°
Space group I4/mmm (No. 139)
One atom of each set of equivalent atoms:
Be 0.000 0.000 0.000 [2 per cell]
Tl 0.000 0.500 0.250 [4 per cell]
Ir 0.000 0.000 0.500 [2 per cell]

The following is a DFT calculation (PBE-GGA) of crystalline BeTl2Ir at its relaxed geometry.

- mass density (g/cm³) = 13.54
- energy relative to the lowest polymorph listed for this composition (eV per atom) = 0.6648
- ΔE_f (eV per atom) = 0.758

Cell: 6.689 6.689 6.689 Å, 90.00 90.00 90.00°
Space group Fm-3m (No. 225)
One atom of each set of equivalent atoms:
Be 0.000 0.000 0.000 [4 per cell]
Tl 0.250 0.250 0.250 [8 per cell]
Ir 0.000 0.000 0.500 [4 per cell]

The following is a DFT calculation (PBE-GGA) of crystalline Be2TlIr at its relaxed geometry.

- mass density (g/cm³) = 11.48
- energy relative to the lowest polymorph listed for this composition (eV per atom) = 0.3363
- ΔE_f (eV per atom) = 0.283

Cell: 2.9983 2.9983 23.1071 Å, 90.00 90.00 120.00°
Space group R-3m (No. 166, hexagonal axes)
One atom of each set of equivalent atoms:
Be 0.0000 0.0000 0.2351 [6 per cell]
Tl 0.0000 0.0000 0.0000 [3 per cell]
Ir 0.0000 0.0000 0.5000 [3 per cell]

The following is a DFT calculation (PBE-GGA) of crystalline Tm3BeIr2 at its relaxed geometry.

- mass density (g/cm³) = 12.16
- ΔE_f (eV per atom) = -0.773

Cell: 11.015 3.930 11.360 Å, 90.00 90.00 90.00°
Space group Pnma (No. 62)
One atom of each set of equivalent atoms:
Tm 0.057 0.250 0.120 [4 per cell]
Tm 0.122 0.750 0.558 [4 per cell]
Tm 0.202 0.250 0.807 [4 per cell]
Be 0.127 0.250 0.370 [4 per cell]
Ir 0.032 0.750 0.318 [4 per cell]
Ir 0.194 0.750 0.984 [4 per cell]